A relaxed P4Ru crystal, computed with GGA-PBEsol.

Geometry as POSCAR:
```
P4Ru
1.0
4.6579 0.0000 0.0000
0.0000 4.6548 0.0000
-1.1577 0.0000 6.9834
P Ru
8 2
direct
0.1222 0.1520 0.4124
0.1222 0.3480 0.9124
0.2876 0.6916 0.7519
0.2876 0.8084 0.2519
0.7124 0.1916 0.7481
0.7124 0.3084 0.2481
0.8778 0.6520 0.0876
0.8778 0.8480 0.5876
0.5000 0.0000 0.0000
0.5000 0.5000 0.5000
```

Results
E above lowest polymorph in meV/atom: 16.4
Electronic total energy in Ry per atom: -0.525
Calculated formation energy in meV/atom: -479
Volume in Å³ per cell: 151
Size of the total moment in μB per atom: 0.00
Symmetry: No. 14